! PuAg2Te3, relaxed, DFT GGA-PBE; values from VASP
&SYSTEM
  ibrav = 0, nat = 12, ntyp = 3
/
ATOMIC_SPECIES
Pu 244.00 Pu.upf
Ag 107.87 Ag.upf
Te 127.60 Te.upf
ATOMIC_POSITIONS crystal
Pu 0.3442 0.9557 0.6886
Pu 0.6558 0.0443 0.3114
Ag 0.2958 0.5510 0.5916
Ag 0.7042 0.4490 0.4084
Ag 0.9593 0.8413 0.9186
Ag 0.0407 0.1587 0.0815
Te 0.2431 0.2205 0.4862
Te 0.0908 0.8359 0.1814
Te 0.4209 0.6467 0.8419
Te 0.7568 0.7794 0.5137
Te 0.5791 0.3533 0.1581
Te 0.9092 0.1641 0.8186
CELL_PARAMETERS angstrom
0.0213 3.1902 -3.0556
4.5477 -4.4958 -4.6633
-9.3100 -5.4652 -2.5786
! **Symmetry**: C2/m, No. 12
! **Formation energy (no corrections)**: -0.425 eV per atom